--- A ---
VASP calculation (PBE) on crystalline InTc2Mo2 at its relaxed geometry.

a = 4.109 Å, b = 4.109 Å, c = 6.284 Å
α = 70.92°, β = 70.92°, γ = 90.00°
Fractional positions:
Mo: 0.382 0.382 0.236
Mo: 0.618 0.618 0.764
Tc: 0.750 0.250 0.500
Tc: 0.250 0.750 0.500
In: 0.000 0.000 0.000

## Properties
The space-group type is I4/mmm. Its magnetic moment is 0.0 μB per formula unit.

--- B ---
VASP calculation (PBE) on crystalline InTc2Mo2 at its relaxed geometry.

a = 7.680 Å, b = 7.680 Å, c = 2.888 Å
α = 90.00°, β = 90.00°, γ = 90.00°
Fractional positions:
Mo: 0.372 0.872 0.000
Mo: 0.872 0.628 0.000
Mo: 0.628 0.128 0.000
Mo: 0.128 0.372 0.000
Tc: 0.163 0.663 0.500
Tc: 0.663 0.837 0.500
Tc: 0.837 0.337 0.500
Tc: 0.337 0.163 0.500
In: 0.000 0.000 0.000
In: 0.500 0.500 0.000

## Properties
The space-group type is P4/mbm. Its magnetic moment is 0.0 μB per formula unit.

Computed energies relative to the best structure, in meV/atom: A 146; B 0

--- A ---
VASP calculation (PBE) on crystalline InTc3Mo at its relaxed geometry.

a = 4.700 Å, b = 4.700 Å, c = 4.700 Å
α = 90.00°, β = 90.00°, γ = 90.00°
Fractional positions:
Mo: 0.000 0.000 0.000
Tc: 0.000 0.500 0.000
Tc: 0.000 0.000 0.500
Tc: 0.500 0.000 0.000
In: 0.500 0.500 0.500

## Properties
The space-group type is Pm-3m. Its magnetic moment is 2.1 μB per formula unit.

--- B ---
VASP calculation (PBE) on crystalline InTc3Mo at its relaxed geometry.

a = 4.711 Å, b = 4.711 Å, c = 4.711 Å
α = 90.00°, β = 90.00°, γ = 90.00°
Fractional positions:
Mo: 0.500 0.500 0.500
Tc: 0.000 0.500 0.000
Tc: 0.000 0.000 0.500
Tc: 0.500 0.000 0.000
In: 0.000 0.000 0.000

## Properties
The space-group type is Pm-3m. Its magnetic moment is 0.0 μB per formula unit.

Computed energies relative to the best structure, in meV/atom: A 0; B 1091